(1)
A plane-wave DFT calculation with PBE was carried out for a relaxed Sr2MgFe crystal.

Cell and atoms, written as extended XYZ:
```
4
Lattice="-2.461 2.461 5.070 2.461 -2.461 5.070 2.461 2.461 -5.070" Properties=species:S:1:pos:R:3 pbc="T T T"
Sr 0.000 0.000 0.000
Sr 0.000 2.461 2.535
Mg 0.000 0.000 5.070
Fe 2.461 0.000 2.535
```

V: 30.72 Å³ per atom
Energy relative to the elements: 0.55 eV per atom
Density of states at the Fermi level: 8.65 states/eV/f.u.
Space group: I-4m2

---

(2)
A plane-wave DFT calculation with PBE was carried out for a relaxed SrMgFe crystal.

Cell and atoms, written as extended XYZ:
```
3
Lattice="0.000 3.529 3.529 3.529 0.000 3.529 3.529 3.529 0.000" Properties=species:S:1:pos:R:3 pbc="T T T"
Sr 0.000 0.000 0.000
Mg 3.529 3.529 3.529
Fe 1.765 1.765 1.765
```

V: 29.31 Å³ per atom
Energy relative to the elements: 0.67 eV per atom
Density of states at the Fermi level: 5.41 states/eV/f.u.
Space group: F-43m

---

(3)
A plane-wave DFT calculation with PBE was carried out for a relaxed SrMgFe2 crystal.

Cell and atoms, written as extended XYZ:
```
4
Lattice="3.266 0.000 0.000 0.000 3.266 0.000 0.000 0.000 7.811" Properties=species:S:1:pos:R:3 pbc="T T T"
Sr 0.000 0.000 0.000
Mg 1.633 1.633 4.934
Fe 0.000 0.000 3.183
Fe 1.633 1.633 2.281
```

V: 20.83 Å³ per atom
Energy relative to the elements: 0.34 eV per atom
Density of states at the Fermi level: 3.37 states/eV/f.u.
Space group: P4mm

---

(4)
A plane-wave DFT calculation with PBE was carried out for a relaxed SrMg2Fe crystal.

Cell and atoms, written as extended XYZ:
```
4
Lattice="3.052 -5.617 0.000 3.052 5.617 0.000 -1.378 0.000 2.894" Properties=species:S:1:pos:R:3 pbc="T T T"
Sr 0.000 0.000 0.000
Mg 0.837 2.809 1.447
Mg 0.837 -2.809 1.447
Fe 3.052 0.000 0.000
```

V: 24.81 Å³ per atom
Energy relative to the elements: 0.55 eV per atom
Density of states at the Fermi level: 4.91 states/eV/f.u.
Space group: C2/m

---

(5)
A plane-wave DFT calculation with PBE was carried out for a relaxed SrMgFe crystal.

Cell and atoms, written as extended XYZ:
```
3
Lattice="3.467 0.000 0.000 -1.733 3.002 0.000 0.000 0.000 7.379" Properties=species:S:1:pos:R:3 pbc="T T T"
Sr 0.000 0.000 0.000
Mg 0.000 2.002 4.302
Fe 1.733 1.001 2.381
```

V: 25.60 Å³ per atom
Energy relative to the elements: 0.70 eV per atom
Density of states at the Fermi level: 3.44 states/eV/f.u.
Space group: P3m1

---

(6)
A plane-wave DFT calculation with PBE was carried out for a relaxed SrMg2Fe crystal.

Cell and atoms, written as extended XYZ:
```
4
Lattice="3.376 0.000 0.000 0.000 4.698 0.000 -1.671 0.000 6.442" Properties=species:S:1:pos:R:3 pbc="T T T"
Sr 0.000 0.000 0.000
Mg 0.000 2.349 3.995
Mg 1.678 0.000 2.968
Fe 1.691 2.349 1.664
```

V: 25.54 Å³ per atom
Energy relative to the elements: 0.40 eV per atom
Density of states at the Fermi level: 4.58 states/eV/f.u.
Space group: Pm

---

(7)
A plane-wave DFT calculation with PBE was carried out for a relaxed Sr2MgFe crystal.

Cell and atoms, written as extended XYZ:
```
4
Lattice="1.986 1.147 10.027 -1.986 1.147 10.027 0.000 -2.294 10.027" Properties=species:S:1:pos:R:3 pbc="T T T"
Sr 0.000 0.000 7.132
Sr 0.000 0.000 22.949
Mg 0.000 0.000 0.000
Fe 0.000 0.000 15.041
```

V: 34.26 Å³ per atom
Energy relative to the elements: 0.59 eV per atom
Density of states at the Fermi level: 7.83 states/eV/f.u.
Space group: R-3m

---

(8)
A plane-wave DFT calculation with PBE was carried out for a relaxed Sr2MgFe crystal.

Cell and atoms, written as extended XYZ:
```
8
Lattice="-5.399 5.399 2.519 5.399 -5.399 2.519 5.399 5.399 -2.519" Properties=species:S:1:pos:R:3 pbc="T T T"
Sr 0.834 2.699 0.630
Sr -2.699 4.565 1.889
Sr -0.834 8.098 0.630
Sr 2.699 6.232 1.889
Mg 5.399 0.000 1.259
Mg 0.000 0.000 2.519
Fe 0.000 0.000 0.000
Fe 0.000 5.399 1.259
```

V: 36.71 Å³ per atom
Energy relative to the elements: 0.67 eV per atom
Density of states at the Fermi level: 9.14 states/eV/f.u.
Space group: I-42d

---

(9)
A plane-wave DFT calculation with PBE was carried out for a relaxed SrMgFe2 crystal.

Cell and atoms, written as extended XYZ:
```
4
Lattice="0.000 3.424 3.424 3.424 0.000 3.424 3.424 3.424 0.000" Properties=species:S:1:pos:R:3 pbc="T T T"
Sr 0.000 0.000 0.000
Mg 5.135 5.135 5.135
Fe 1.712 1.712 1.712
Fe 3.424 3.424 3.424
```

V: 20.06 Å³ per atom
Energy relative to the elements: 0.69 eV per atom
Density of states at the Fermi level: 3.61 states/eV/f.u.
Space group: F-43m

---

(10)
A plane-wave DFT calculation with PBE was carried out for a relaxed SrMgFe2 crystal.

Cell and atoms, written as extended XYZ:
```
4
Lattice="5.228 -1.583 0.000 5.228 1.583 0.000 -1.779 0.000 5.037" Properties=species:S:1:pos:R:3 pbc="T T T"
Sr 0.000 0.000 0.000
Mg 7.713 0.000 1.850
Fe 0.954 0.000 3.682
Fe 4.841 0.000 2.661
```

V: 20.84 Å³ per atom
Energy relative to the elements: 0.48 eV per atom
Density of states at the Fermi level: 3.25 states/eV/f.u.
Space group: Cm

---

(11)
A plane-wave DFT calculation with PBE was carried out for a relaxed Sr2MgFe crystal.

Cell and atoms, written as extended XYZ:
```
4
Lattice="0.000 3.883 3.883 3.883 0.000 3.883 3.883 3.883 0.000" Properties=species:S:1:pos:R:3 pbc="T T T"
Sr 0.000 0.000 0.000
Sr 1.942 1.942 1.942
Mg 5.825 5.825 5.825
Fe 3.883 3.883 3.883
```

V: 29.28 Å³ per atom
Energy relative to the elements: 0.55 eV per atom
Density of states at the Fermi level: 6.40 states/eV/f.u.
Space group: F-43m

---

(12)
A plane-wave DFT calculation with PBE was carried out for a relaxed SrMg2Fe crystal.

Cell and atoms, written as extended XYZ:
```
4
Lattice="3.528 0.000 0.000 0.000 3.528 0.000 0.000 0.000 7.962" Properties=species:S:1:pos:R:3 pbc="T T T"
Sr 0.000 0.000 0.000
Mg 0.000 0.000 3.349
Mg 1.764 1.764 5.192
Fe 1.764 1.764 2.185
```

V: 24.78 Å³ per atom
Energy relative to the elements: 0.33 eV per atom
Density of states at the Fermi level: 5.10 states/eV/f.u.
Space group: P4mm

---

(13)
A plane-wave DFT calculation with PBE was carried out for a relaxed SrMgFe crystal.

Cell and atoms, written as extended XYZ:
```
3
Lattice="4.915 0.000 0.000 -2.458 4.257 0.000 0.000 0.000 3.830" Properties=species:S:1:pos:R:3 pbc="T T T"
Sr 0.000 0.000 0.000
Mg 0.000 2.838 1.915
Fe 2.458 1.419 1.915
```

V: 26.71 Å³ per atom
Energy relative to the elements: 0.54 eV per atom
Density of states at the Fermi level: 5.69 states/eV/f.u.
Space group: P-6m2

---

(14)
A plane-wave DFT calculation with PBE was carried out for a relaxed SrMg3Fe crystal.

Cell and atoms, written as extended XYZ:
```
5
Lattice="5.040 0.000 0.000 0.000 5.040 0.000 0.000 0.000 5.040" Properties=species:S:1:pos:R:3 pbc="T T T"
Sr 0.000 0.000 0.000
Mg 0.000 2.520 2.520
Mg 2.520 0.000 2.520
Mg 2.520 2.520 0.000
Fe 2.520 2.520 2.520
```

V: 25.60 Å³ per atom
Energy relative to the elements: 0.26 eV per atom
Density of states at the Fermi level: 13.28 states/eV/f.u.
Space group: Pm-3m
Polymorph energy (0 for the lowest one): 0 meV/atom

---

(15)
A plane-wave DFT calculation with PBE was carried out for a relaxed SrMgFe crystal.

Cell and atoms, written as extended XYZ:
```
3
Lattice="0.000 3.691 3.691 3.691 0.000 3.691 3.691 3.691 0.000" Properties=species:S:1:pos:R:3 pbc="T T T"
Sr 0.000 0.000 0.000
Mg 1.846 1.846 1.846
Fe 5.537 5.537 5.537
```

V: 33.54 Å³ per atom
Energy relative to the elements: 1.13 eV per atom
Density of states at the Fermi level: 3.23 states/eV/f.u.
Space group: F-43m

---

(16)
A plane-wave DFT calculation with PBE was carried out for a relaxed Sr2MgFe crystal.

Cell and atoms, written as extended XYZ:
```
4
Lattice="2.698 -2.729 0.000 2.698 2.729 0.000 0.000 0.000 8.563" Properties=species:S:1:pos:R:3 pbc="T T T"
Sr 0.000 0.000 1.881
Sr 0.000 0.000 6.682
Mg 2.698 0.000 4.282
Fe 2.698 0.000 0.000
```

V: 31.52 Å³ per atom
Energy relative to the elements: 0.40 eV per atom
Density of states at the Fermi level: 5.87 states/eV/f.u.
Space group: Cmmm

---

(17)
A plane-wave DFT calculation with PBE was carried out for a relaxed SrMg2Fe crystal.

Cell and atoms, written as extended XYZ:
```
4
Lattice="0.000 3.549 3.549 3.549 0.000 3.549 3.549 3.549 0.000" Properties=species:S:1:pos:R:3 pbc="T T T"
Sr 0.000 0.000 0.000
Mg 1.775 1.775 1.775
Mg 5.324 5.324 5.324
Fe 3.549 3.549 3.549
```

V: 22.36 Å³ per atom
Energy relative to the elements: 0.63 eV per atom
Density of states at the Fermi level: 4.22 states/eV/f.u.
Space group: Fm-3m

---

(18)
A plane-wave DFT calculation with PBE was carried out for a relaxed SrMg6Fe crystal.

Cell and atoms, written as extended XYZ:
```
8
Lattice="4.958 0.000 0.000 0.000 3.102 6.438 0.000 -3.102 6.438" Properties=species:S:1:pos:R:3 pbc="T T T"
Sr 0.000 0.000 0.000
Mg 0.000 -1.500 9.548
Mg 0.000 1.500 9.548
Mg 2.479 -1.488 4.884
Mg 2.479 0.000 2.200
Mg 2.479 0.000 7.665
Mg 2.479 1.488 4.884
Fe 0.000 0.000 5.384
```

V: 24.76 Å³ per atom
Energy relative to the elements: 0.22 eV per atom
Density of states at the Fermi level: 5.74 states/eV/f.u.
Space group: Amm2

---

(19)
A plane-wave DFT calculation with PBE was carried out for a relaxed SrMg2Fe crystal.

Cell and atoms, written as extended XYZ:
```
4
Lattice="3.138 -4.962 0.000 3.138 4.962 0.000 0.000 0.000 3.195" Properties=species:S:1:pos:R:3 pbc="T T T"
Sr 0.000 0.000 0.000
Mg 1.569 2.481 1.597
Mg 1.569 -2.481 1.597
Fe 3.138 0.000 0.000
```

V: 24.87 Å³ per atom
Energy relative to the elements: 0.57 eV per atom
Density of states at the Fermi level: 4.70 states/eV/f.u.
Space group: Cmmm

---

(20)
A plane-wave DFT calculation with PBE was carried out for a relaxed SrMgFe3 crystal.

Cell and atoms, written as extended XYZ:
```
5
Lattice="4.838 0.000 0.000 0.000 4.838 0.000 0.000 0.000 4.838" Properties=species:S:1:pos:R:3 pbc="T T T"
Sr 0.000 0.000 0.000
Mg 2.419 2.419 2.419
Fe 0.000 0.000 2.419
Fe 0.000 2.419 0.000
Fe 2.419 0.000 0.000
```

V: 22.65 Å³ per atom
Energy relative to the elements: 1.99 eV per atom
Density of states at the Fermi level: 9.06 states/eV/f.u.
Space group: Pm-3m

---

(21)
A plane-wave DFT calculation with PBE was carried out for a relaxed SrMgFe crystal.

Cell and atoms, written as extended XYZ:
```
3
Lattice="-1.780 1.780 5.947 1.780 -1.780 5.947 1.780 1.780 -5.947" Properties=species:S:1:pos:R:3 pbc="T T T"
Sr 0.000 0.000 0.000
Mg 0.000 0.000 3.313
Fe 0.000 0.000 8.103
```

V: 25.12 Å³ per atom
Energy relative to the elements: 0.45 eV per atom
Density of states at the Fermi level: 4.53 states/eV/f.u.
Space group: I4mm

---

(22)
A plane-wave DFT calculation with PBE was carried out for a relaxed Sr2MgFe crystal.

Cell and atoms, written as extended XYZ:
```
4
Lattice="3.735 0.000 0.000 0.000 3.735 0.000 0.000 0.000 9.041" Properties=species:S:1:pos:R:3 pbc="T T T"
Sr 0.000 0.000 0.000
Sr 1.867 1.867 3.452
Mg 1.867 1.867 6.644
Fe 0.000 0.000 5.605
```

V: 31.52 Å³ per atom
Energy relative to the elements: 0.36 eV per atom
Density of states at the Fermi level: 6.15 states/eV/f.u.
Space group: P4mm

---

(23)
A plane-wave DFT calculation with PBE was carried out for a relaxed SrMgFe2 crystal.

Cell and atoms, written as extended XYZ:
```
4
Lattice="-1.602 2.558 5.084 1.602 -2.558 5.084 1.602 2.558 -5.084" Properties=species:S:1:pos:R:3 pbc="T T T"
Sr 0.000 0.000 0.000
Mg 1.602 0.000 3.034
Fe 0.000 0.000 5.648
Fe 0.000 2.558 2.230
```

V: 20.83 Å³ per atom
Energy relative to the elements: 0.49 eV per atom
Density of states at the Fermi level: 3.32 states/eV/f.u.
Space group: Imm2

---

(24)
A plane-wave DFT calculation with PBE was carried out for a relaxed SrMg2Fe crystal.

Cell and atoms, written as extended XYZ:
```
4
Lattice="-2.323 2.323 4.495 2.323 -2.323 4.495 2.323 2.323 -4.495" Properties=species:S:1:pos:R:3 pbc="T T T"
Sr 0.000 0.000 0.000
Mg 2.323 0.000 2.247
Mg 0.000 2.323 2.247
Fe 0.000 0.000 4.495
```

V: 24.26 Å³ per atom
Energy relative to the elements: 0.45 eV per atom
Density of states at the Fermi level: 6.25 states/eV/f.u.
Space group: I4/mmm

---

(25)
A plane-wave DFT calculation with PBE was carried out for a relaxed SrMgFe2 crystal.

Cell and atoms, written as extended XYZ:
```
4
Lattice="1.554 0.897 9.549 -1.554 0.897 9.549 0.000 -1.794 9.549" Properties=species:S:1:pos:R:3 pbc="T T T"
Sr 0.000 0.000 0.000
Mg 0.000 0.000 14.324
Fe 0.000 0.000 6.965
Fe 0.000 0.000 21.682
```

V: 19.96 Å³ per atom
Energy relative to the elements: 0.88 eV per atom
Density of states at the Fermi level: 4.90 states/eV/f.u.
Space group: R-3m

---

(26)
A plane-wave DFT calculation with PBE was carried out for a relaxed SrMg2Fe crystal.

Cell and atoms, written as extended XYZ:
```
4
Lattice="1.667 0.962 10.156 -1.667 0.962 10.156 0.000 -1.925 10.156" Properties=species:S:1:pos:R:3 pbc="T T T"
Sr 0.000 0.000 0.000
Mg 0.000 0.000 15.865
Mg 0.000 0.000 23.396
Fe 0.000 0.000 7.734
```

V: 24.44 Å³ per atom
Energy relative to the elements: 0.55 eV per atom
Density of states at the Fermi level: 3.66 states/eV/f.u.
Space group: R3m

---

(27)
A plane-wave DFT calculation with PBE was carried out for a relaxed SrMgFe2 crystal.

Cell and atoms, written as extended XYZ:
```
4
Lattice="3.583 0.000 0.000 0.000 3.583 0.000 0.000 0.000 6.761" Properties=species:S:1:pos:R:3 pbc="T T T"
Sr 0.000 0.000 0.000
Mg 0.000 0.000 3.381
Fe 1.792 1.792 2.287
Fe 1.792 1.792 4.475
```

V: 21.71 Å³ per atom
Energy relative to the elements: 0.52 eV per atom
Density of states at the Fermi level: 4.96 states/eV/f.u.
Space group: P4/mmm

---

(28)
A plane-wave DFT calculation with PBE was carried out for a relaxed SrY2MgFe crystal.

Cell and atoms, written as extended XYZ:
```
5
Lattice="5.192 0.000 0.000 0.000 5.192 0.000 0.000 0.000 5.397" Properties=species:S:1:pos:R:3 pbc="T T T"
Sr 0.000 0.000 0.000
Y 0.000 2.596 2.699
Y 2.596 0.000 2.699
Mg 2.596 2.596 0.000
Fe 2.596 2.596 2.699
```

V: 29.10 Å³ per atom
Energy relative to the elements: 0.11 eV per atom
Density of states at the Fermi level: 4.27 states/eV/f.u.
Space group: P4/mmm

---

(29)
A plane-wave DFT calculation with PBE was carried out for a relaxed MgTaFe2 crystal.

Cell and atoms, written as extended XYZ:
```
8
Lattice="-3.390 3.390 2.740 3.390 -3.390 2.740 3.390 3.390 -2.740" Properties=species:S:1:pos:R:3 pbc="T T T"
Mg 0.000 0.000 0.000
Mg 0.000 3.390 1.370
Ta 3.390 0.000 1.370
Ta 0.000 0.000 2.740
Fe 1.695 -1.577 2.055
Fe 1.814 1.695 0.685
Fe 1.695 4.967 -0.685
Fe 1.577 1.695 3.425
```

V: 15.75 Å³ per atom
Energy relative to the elements: 0.66 eV per atom
Density of states at the Fermi level: 4.14 states/eV/f.u.
Space group: I-42d

---

(30)
A plane-wave DFT calculation with PBE was carried out for a relaxed MgTa2Fe2 crystal.

Cell and atoms, written as extended XYZ:
```
5
Lattice="-1.875 1.875 6.163 1.875 -1.875 6.163 1.875 1.875 -6.163" Properties=species:S:1:pos:R:3 pbc="T T T"
Mg 0.000 0.000 0.000
Ta 0.000 0.000 4.611
Ta 0.000 0.000 7.716
Fe 1.875 0.000 3.082
Fe 0.000 1.875 3.082
```

V: 17.33 Å³ per atom
Energy relative to the elements: 0.48 eV per atom
Density of states at the Fermi level: 3.46 states/eV/f.u.
Space group: I4/mmm
Polymorph energy (0 for the lowest one): 459 meV/atom